{"formula": "BaMnF4", "functional": "PBE+U", "state": "relaxed", "sg": "Cmc2_1 (36)", "dft_energy_ev_per_atom": -6.0945, "volume_a3_per_cell": 201.3, "cell": [[2.139, -7.725, 0.000], [2.139, 7.725, 0.000], [0.000, 0.000, 6.090]], "species": ["Ba", "Ba", "Mn", "Mn", "F", "F", "F", "F", "F", "F", "F", "F"], "frac_coords": [[0.158, 0.842, 0.054], [0.842, 0.158, 0.554], [0.584, 0.416, 0.503], [0.416, 0.584, 0.003], [0.082, 0.918, 0.476], [0.918, 0.082, 0.976], [0.538, 0.462, 0.159], [0.462, 0.538, 0.659], [0.299, 0.701, 0.808], [0.701, 0.299, 0.308], [0.335, 0.665, 0.281], [0.665, 0.335, 0.781]]}